# 1
A plane-wave DFT calculation with PBE was carried out for a geometry-optimized ScCd3Hg4 structure.

Output
Final energy = -1.396 eV per atom
Space group = No. 51
Formation energy from the elements = -10.6 kJ per mole of atoms

Unit cell a=9.280 b=8.368 c=4.639 alpha=90.00 beta=90.00 gamma=90.00
Element x y z (fractional)
1 Sc 0.000 0.000 0.000
2 Sc 0.500 0.000 0.000
3 Cd 0.000 0.500 0.000
4 Cd 0.250 0.000 0.499
5 Cd 0.250 0.500 0.499
6 Cd 0.500 0.500 0.000
7 Cd 0.750 0.000 0.501
8 Cd 0.750 0.500 0.501
9 Hg 0.000 0.244 0.500
10 Hg 0.000 0.756 0.500
11 Hg 0.250 0.244 0.999
12 Hg 0.250 0.756 0.999
13 Hg 0.500 0.244 0.500
14 Hg 0.500 0.756 0.500
15 Hg 0.750 0.244 0.001
16 Hg 0.750 0.756 0.001

# 2
A plane-wave DFT calculation with PBE was carried out for a geometry-optimized Rb3Ho2UTe6 structure.

Output
Final energy = -4.701 eV per atom
Space group = No. 12

Unit cell a=7.868 b=7.868 c=8.958 alpha=98.42 beta=98.42 gamma=120.00
Element x y z (fractional)
1 Rb 0.000 0.000 0.000
2 Rb 0.334 0.666 0.000
3 Rb 0.666 0.334 0.000
4 Ho 0.167 0.833 0.500
5 Ho 0.833 0.167 0.500
6 U 0.500 0.500 0.500
7 Te 0.094 0.433 0.300
8 Te 0.228 0.228 0.700
9 Te 0.433 0.094 0.300
10 Te 0.567 0.906 0.700
11 Te 0.772 0.772 0.300
12 Te 0.906 0.567 0.700

# 3
A plane-wave DFT calculation with PBE was carried out for a geometry-optimized Cd2SbBr structure.

Output
Final energy = -2.121 eV per atom
Space group = No. 166

Unit cell a=7.513 b=7.513 c=7.513 alpha=33.56 beta=33.56 gamma=33.56
Element x y z (fractional)
1 Cd 0.240 0.240 0.240
2 Cd 0.760 0.760 0.760
3 Sb 0.500 0.500 0.500
4 Br 0.000 0.000 0.000

# 4
A plane-wave DFT calculation with PBE was carried out for a geometry-optimized Y4SiPd3 structure.

Output
Final energy = -6.724 eV per atom
Space group = No. 25

Unit cell a=3.880 b=4.360 c=10.749 alpha=90.00 beta=90.00 gamma=90.00
Element x y z (fractional)
1 Y 0.000 0.000 0.000
2 Y 0.000 0.500 0.278
3 Y 0.500 0.000 0.497
4 Y 0.500 0.500 0.779
5 Si 0.500 0.000 0.218
6 Pd 0.000 0.000 0.724
7 Pd 0.000 0.500 0.555
8 Pd 0.500 0.500 0.064